# 1
The following is a GGA-PBE calculation of crystalline TiB at its relaxed geometry, from Alexandria.

## Properties
Crystal system: tetragonal
Mass density (g cm⁻³): 4.31
SG: No. 87
Total magnetization (μB per cell): 0.05
Formation energy from the elements (eV/atom): -0.283
Energy (eV per atom): -7.57

Geometry as POSCAR:
```
TiB
1.0
6.259 0.000 0.000
0.000 6.259 0.000
0.000 0.000 4.612
Ti B
8 8
Cartesian
0.449 1.890 0.000
1.239 3.578 2.306
1.890 5.810 0.000
2.680 1.239 2.306
3.578 5.020 2.306
4.368 0.449 0.000
5.020 2.680 2.306
5.810 4.368 0.000
0.420 1.174 2.306
1.174 5.839 2.306
1.955 3.549 0.000
2.710 1.955 0.000
3.549 4.303 0.000
4.303 2.710 0.000
5.085 0.420 2.306
5.839 5.085 2.306
```

# 2
The following is a GGA-PBE calculation of crystalline TiB at its relaxed geometry, from Alexandria.

## Properties
Crystal system: orthorhombic
Mass density (g cm⁻³): 4.39
SG: No. 70
Total magnetization (μB per cell): 0.00
Formation energy from the elements (eV/atom): -0.074
Energy (eV per atom): -7.36

Geometry as POSCAR:
```
TiB
1.0
0.000 3.698 5.441
2.204 0.000 5.441
2.204 3.698 0.000
Ti B
4 4
Cartesian
1.653 0.306 4.081
2.755 2.155 6.802
1.653 5.241 4.081
2.755 7.091 6.802
1.653 2.774 3.268
1.653 2.774 4.894
2.755 4.623 5.989
2.755 4.623 7.614
```

# 3
The following is a GGA-PBE calculation of crystalline TiTl3B at its relaxed geometry, from Alexandria.

## Properties
Crystal system: cubic
Mass density (g cm⁻³): 6.97
SG: No. 221
Total magnetization (μB per cell): 1.24
Formation energy from the elements (eV/atom): 1.364
Energy (eV per atom): -2.97

Geometry as POSCAR:
```
TiTl3B
1.0
5.429 0.000 0.000
0.000 5.429 0.000
0.000 0.000 5.429
Ti Tl B
1 3 1
Cartesian
0.000 0.000 0.000
0.000 0.000 2.714
0.000 2.714 0.000
2.714 0.000 0.000
2.714 2.714 2.714
```

# 4
The following is a GGA-PBE calculation of crystalline Ti6Tl2B at its relaxed geometry, from Alexandria.

## Properties
Crystal system: orthorhombic
Mass density (g cm⁻³): 6.99
SG: No. 65
Total magnetization (μB per cell): 3.13
Formation energy from the elements (eV/atom): 0.222
Energy (eV per atom): -6.31

Geometry as POSCAR:
```
Ti6Tl2B
1.0
3.774 -6.957 0.000
3.774 6.957 0.000
0.000 0.000 3.198
Ti Tl B
6 2 1
Cartesian
1.283 2.193 0.000
1.527 0.000 1.599
1.283 -2.193 0.000
6.265 2.193 0.000
6.022 0.000 1.599
6.265 -2.193 0.000
3.774 2.299 1.599
3.774 -2.299 1.599
0.000 0.000 0.000
```